Here is crystalline Er2TmTl3AgPt2 at its relaxed geometry from OQMD via LeMat-Bulk. Energies are from PBE.

```
Er2TmTl3AgPt2
1.0
-1.601 1.448 3.033
-5.569 -5.598 -0.268
6.641 -1.237 4.097
Ag Er Pt Tl Tm
1 2 2 3 1
Cartesian
0.000 -0.001 0.001
-3.286 -3.303 -0.158
3.919 -0.730 2.417
-2.294 -3.417 2.704
1.765 -1.967 4.155
-2.312 -0.796 1.444
1.002 0.387 2.629
-0.020 -4.253 4.304
0.440 -2.803 1.570
```

Calculated values
- Symmetry: Amm2, No. 38
- DFT total energy: -4.61 eV/atom

Here is crystalline SbPtN at its relaxed geometry from OQMD via LeMat-Bulk. Energies are from PBE.

```
SbPtN
1.0
3.843 0.000 0.000
0.000 3.843 0.000
0.000 0.000 6.917
N Pt Sb
2 2 2
Cartesian
0.000 0.000 0.000
1.922 1.922 0.000
1.922 0.000 3.385
0.000 1.922 3.532
0.000 1.922 1.014
1.922 0.000 5.903
```

Calculated values
- Symmetry: P4/nmm, No. 129
- DFT total energy: -5.70 eV/atom

Here is crystalline Al2FeCu5 at its relaxed geometry from OQMD via LeMat-Bulk. Energies are from PBE.

```
Al2FeCu5
1.0
-3.200 1.121 2.226
-2.422 -0.540 -3.209
-0.866 -5.666 1.607
Al Cu Fe
2 5 1
Cartesian
0.000 0.000 0.000
-3.244 -2.543 0.312
-1.816 -0.855 1.515
-1.427 -1.685 -1.203
-0.433 -2.833 0.804
-2.250 -3.690 2.319
-1.860 -4.521 -0.399
-2.811 0.290 -0.491
```

Calculated values
- Symmetry: P4/mmm, No. 123
- Polymorph energy (0 for the lowest one): 0.000 eV per atom